No. 1
MgBi2Pb | GGA-PBE | relaxed

Energy of formation   0.7 kJ per mole of atoms
DOS(E_F)   1.297 states/eV/cell
Spin magnetization   0.00 μB per formula unit
V   120 Å³ per cell
Crystal system   tetragonal

Cell: 5.0697 5.0697 4.6504 Å, 90.00 90.00 90.00°
With the nearest neighbours (Å) after each atom.
Space group P4/mmm (No. 123)
One atom of each set of equivalent atoms:
Mg1 0.0000 0.0000 0.0000 [1 per cell]  8 Bi 3.44, 4 Pb 3.58
Bi1 0.0000 0.5000 0.5000 [2 per cell]  4 Pb 3.44, 4 Mg 3.44, 4 Bi 3.58
Pb1 0.5000 0.5000 0.0000 [1 per cell]  8 Bi 3.44, 4 Mg 3.58



No. 2
Ta2AlTl | GGA-PBE | relaxed

Energy of formation   19.7 kJ per mole of atoms
DOS(E_F)   2.239 states/eV/cell
Spin magnetization   0.00 μB per formula unit
V   77 Å³ per cell
Crystal system   tetragonal

Cell: 3.5651 3.5651 6.0783 Å, 90.00 90.00 90.00°
With the nearest neighbours (Å) after each atom.
Space group P4mm (No. 99)
One atom of each set of equivalent atoms:
Ta1 0.0000 0.0000 0.0000 [1 per cell]  4 Ta 2.80, 4 Al 2.94, 2 Tl 3.04
Ta2 0.5000 0.5000 0.2016 [1 per cell]  1 Al 2.74, 4 Ta 2.80
Al1 0.5000 0.5000 0.7513 [1 per cell]  5 Ta 2.74-2.94, 4 Tl 2.95
Tl1 0.0000 0.0000 0.5001 [1 per cell]  4 Al 2.95, 6 Ta 3.04-3.11



No. 3
La2Tb12Dy5 | GGA-PBE | relaxed

Energy of formation   13.3 kJ per mole of atoms
DOS(E_F)   55.680 states/eV/cell
Spin magnetization   0.00 μB per formula unit
V   1261 Å³ per cell
Crystal system   monoclinic

Cell: 15.8490 9.2697 8.5815 Å, 90.00 91.02 90.00°
With the nearest neighbours (Å) after each atom.
Space group C2/m (No. 12)
One atom of each set of equivalent atoms:
La1 0.0000 0.1862 0.0000 [4 per cell]  8 Tb 3.42-3.63, 1 La 3.45, 2 Dy 3.57
Tb1 0.0602 0.0000 0.3279 [4 per cell]  2 Dy 3.38-3.53, 7 Tb 3.42-3.55, 2 La 3.42
Tb2 0.0944 0.5000 0.8827 [4 per cell]  3 Dy 3.41-3.58, 2 La 3.43, 5 Tb 3.53-3.65
Tb3 0.1249 0.1909 0.6501 [8 per cell]  4 Dy 3.39-3.72, 6 Tb 3.42-3.73, 1 La 3.63
Tb4 0.1574 0.3197 0.2443 [8 per cell]  5 Tb 3.34-3.73, 1 La 3.46, 3 Dy 3.49-3.65
Dy1 0.0000 0.5000 0.5000 [2 per cell]  10 Tb 3.58-3.74, 2 Dy 3.72
Dy2 0.1975 0.0000 0.0088 [4 per cell]  8 Tb 3.41-3.72, 2 La 3.57, 1 Dy 3.72
Dy3 0.2317 0.5000 0.5760 [4 per cell]  10 Tb 3.38-3.76, 2 Dy 3.72



No. 4
Mg2ScMn | GGA-PBE | relaxed

Energy of formation   13.7 kJ per mole of atoms
DOS(E_F)   13.671 states/eV/cell
Spin magnetization   4.06 μB per formula unit
V   323 Å³ per cell
Crystal system   cubic

Cell: 6.8627 6.8627 6.8627 Å, 90.00 90.00 90.00°
With the nearest neighbours (Å) after each atom.
Space group F-43m (No. 216)
One atom of each set of equivalent atoms:
Mg1 0.0000 0.0000 0.0000 [4 per cell]  4 Mg 2.97, 4 Sc 2.97
Mg2 0.2500 0.2500 0.2500 [4 per cell]  4 Mn 2.97, 4 Mg 2.97
Sc1 0.2500 0.2500 0.7500 [4 per cell]  4 Mg 2.97, 4 Mn 2.97
Mn1 0.0000 0.0000 0.5000 [4 per cell]  4 Mg 2.97, 4 Sc 2.97



No. 5
Y2MgTe | GGA-PBE | relaxed

DOS(E_F)   9.308 states/eV/cell
Uncorrected formation energy   -467 meV/atom
Spin magnetization   0.56 μB per formula unit
V   217 Å³ per cell
Crystal system   tetragonal

Cell: 4.8315 4.8315 9.2959 Å, 90.00 90.00 90.00°
With the nearest neighbours (Å) after each atom.
Space group I4/mmm (No. 139)
One atom of each set of equivalent atoms:
Y1 0.0000 0.5000 0.2500 [4 per cell]  4 Te 3.35, 4 Mg 3.35, 4 Y 3.42
Mg1 0.0000 0.0000 0.0000 [2 per cell]  8 Y 3.35, 4 Te 3.42
Te1 0.0000 0.0000 0.5000 [2 per cell]  8 Y 3.35, 4 Mg 3.42



No. 6
Pm6Co2Sn | GGA-PBE | relaxed

Energy of formation   -24.4 kJ per mole of atoms
DOS(E_F)   30.514 states/eV/cell
Spin magnetization   0.00 μB per formula unit
V   981 Å³ per cell
Crystal system   orthorhombic

Cell: 9.5741 9.9874 10.2566 Å, 90.00 90.00 90.00°
With the nearest neighbours (Å) after each atom.
Space group Immm (No. 71)
One atom of each set of equivalent atoms:
Pm1 0.0000 0.2043 0.2345 [8 per cell]  1 Co 2.78
Pm2 0.1850 0.5000 0.1764 [8 per cell]  3 Co 2.82-2.97
Pm3 0.2144 0.3160 0.5000 [8 per cell]  3 Co 2.98-3.17, 1 Sn 3.29
Co1 0.0000 0.3444 0.0000 [4 per cell]  6 Pm 2.78-2.97, 1 Co 3.11
Co2 0.0000 0.5000 0.3900 [4 per cell]  1 Co 2.26
Sn1 0.0000 0.0000 0.0000 [2 per cell]  8 Pm 3.15-3.29, 2 Co 3.44
Sn2 0.0000 0.0000 0.5000 [2 per cell]  12 Pm 3.40-3.76



No. 7
Li2SbPd8 | GGA-PBE | relaxed

DOS(E_F)   18.736 states/eV/cell
Uncorrected formation energy   -258 meV/atom
Spin magnetization   0.00 μB per formula unit
V   343 Å³ per cell
Crystal system   orthorhombic

Cell: 4.2504 6.8512 11.7718 Å, 90.00 90.00 90.00°
With the nearest neighbours (Å) after each atom.
Space group Immm (No. 71)
One atom of each set of equivalent atoms:
Li1 0.0000 0.0000 0.1994 [4 per cell]  10 Pd 2.60-2.77
Sb1 0.0000 0.0000 0.5000 [2 per cell]  8 Pd 2.68-2.76
Pd1 0.0000 0.1899 0.0000 [4 per cell]  7 Pd 2.60-2.81, 2 Li 2.68
Pd2 0.0000 0.2860 0.3446 [8 per cell]  3 Li 2.60-2.63, 1 Sb 2.68, 5 Pd 2.73-2.89
Pd3 0.0000 0.5000 0.1494 [4 per cell]  8 Pd 2.73-2.89, 2 Sb 2.76, 2 Li 2.77



No. 8
ZnRh2Au | GGA-PBE | relaxed

Energy of formation   26.0 kJ per mole of atoms
DOS(E_F)   18.456 states/eV/cell
Spin magnetization   1.11 μB per formula unit
V   264 Å³ per cell
Crystal system   tetragonal

Cell: 3.7353 3.7353 18.9268 Å, 90.00 90.00 90.00°
With the nearest neighbours (Å) after each atom.
Space group I-42d (No. 122)
One atom of each set of equivalent atoms:
Zn1 0.0000 0.0000 0.0000 [4 per cell]  4 Au 2.64, 4 Rh 2.70
Rh1 0.2405 0.2500 0.1250 [8 per cell]  4 Rh 2.59-2.69, 2 Zn 2.70, 2 Au 2.72
Au1 0.0000 0.0000 0.5000 [4 per cell]  4 Zn 2.64, 4 Rh 2.72



No. 9
Pa2ReSi | GGA-PBE | relaxed

DOS(E_F)   14.108 states/eV/cell
Uncorrected formation energy   -58 meV/atom
Spin magnetization   0.00 μB per formula unit
V   257 Å³ per cell
Crystal system   trigonal

Cell: 4.5459 4.5459 14.3662 Å, 90.00 90.00 120.00°
With the nearest neighbours (Å) after each atom.
Space group R-3m (No. 166, hexagonal axes)
One atom of each set of equivalent atoms:
Pa1 0.0000 0.0000 0.2468 [6 per cell]  3 Re 2.87, 3 Si 2.90
Re1 0.0000 0.0000 0.5000 [3 per cell]  6 Pa 2.87
Si1 0.0000 0.0000 0.0000 [3 per cell]  6 Pa 2.90



No. 10
Er2AlZn | GGA-PBE | relaxed

Energy of formation   -36.5 kJ per mole of atoms
DOS(E_F)   10.225 states/eV/cell
Spin magnetization   0.00 μB per formula unit
V   360 Å³ per cell
Crystal system   cubic

Cell: 7.1155 7.1155 7.1155 Å, 90.00 90.00 90.00°
With the nearest neighbours (Å) after each atom.
Space group Fm-3m (No. 225)
One atom of each set of equivalent atoms:
Er1 0.2500 0.2500 0.2500 [8 per cell]  4 Al 3.08, 4 Zn 3.08
Al1 0.0000 0.0000 0.0000 [4 per cell]  8 Er 3.08
Zn1 0.0000 0.0000 0.5000 [4 per cell]  8 Er 3.08



No. 11
PrPaPtN3 | GGA-PBE | relaxed

DOS(E_F)   3.448 states/eV/cell
Uncorrected formation energy   -959 meV/atom
Spin magnetization   0.00 μB per formula unit
V   193 Å³ per cell
Crystal system   monoclinic

Cell: 6.8379 3.5006 8.3654 Å, 90.00 105.90 90.00°
With the nearest neighbours (Å) after each atom.
Space group P2_1/m (No. 11)
One atom of each set of equivalent atoms:
Pr1 0.0659 0.2500 0.3063 [2 per cell]  6 N 2.51-2.64
Pa1 0.4260 0.7500 0.6652 [2 per cell]  6 N 2.21-2.47
Pt1 0.3519 0.7500 0.0184 [2 per cell]  2 N 2.01
N1 0.1910 0.2500 0.6288 [2 per cell]  2 Pa 2.34, 1 Pr 2.60
N2 0.2670 0.2500 0.0961 [2 per cell]  2 Pt 2.01
N3 0.3594 0.7500 0.3910 [2 per cell]  3 Pa 2.21-2.41



No. 12
TaTi2Ge2 | GGA-PBE | relaxed

Energy of formation   -57.4 kJ per mole of atoms
DOS(E_F)   4.778 states/eV/cell
Spin magnetization   0.00 μB per formula unit
V   162 Å³ per cell
Crystal system   tetragonal

Cell: 6.8618 6.8618 3.4469 Å, 90.00 90.00 90.00°
With the nearest neighbours (Å) after each atom.
Space group P4/mbm (No. 127)
One atom of each set of equivalent atoms:
Ta1 0.0000 0.0000 0.0000 [2 per cell]  4 Ge 2.68
Ti1 0.1697 0.3303 0.5000 [4 per cell]  6 Ge 2.58-2.71
Ge1 0.1319 0.6319 0.0000 [4 per cell]  1 Ge 2.56, 6 Ti 2.58-2.71, 2 Ta 2.68



Asked for electronic total energy across the records above, the calculation gives -3.259 -7.250 -4.516 -4.530 -4.883 -5.444 -4.758 -4.544 -9.273 -3.914 -8.508 -7.971 eV/atom in order.